# Al3VN

Crystalline Al3VN at its relaxed geometry (GGA-PBE, Alexandria via LeMat-Bulk).

Summary:
The raw total energy comes out at -5.6851 eV/atom. The density of states at the Fermi level is 1.165 states/eV/atom. Its total magnetization is 0.97 μB per cell.

Unit cell a=4.021 b=4.021 c=4.021 alpha=90.00 beta=90.00 gamma=90.00
Element x y z (fractional)
Al: 0.000 0.000 0.500
Al: 0.000 0.500 0.000
Al: 0.500 0.000 0.000
V: 0.500 0.500 0.500
N: 0.000 0.000 0.000

# Al2V4N

Crystalline Al2V4N at its relaxed geometry (GGA-PBE, Alexandria via LeMat-Bulk).

Summary:
The raw total energy comes out at -7.7565 eV/atom. The density of states at the Fermi level is 1.033 states/eV/atom. Its total magnetization is 1.96 μB per cell.

Unit cell a=7.154 b=7.154 c=7.154 alpha=148.70 beta=148.70 gamma=44.85
Element x y z (fractional)
Al: 0.148 0.148 0.000
Al: 0.852 0.852 0.000
V: 0.000 0.500 0.500
V: 0.349 0.349 0.000
V: 0.500 0.000 0.500
V: 0.651 0.651 0.000
N: 0.500 0.500 0.000

# AlVN2

Crystalline AlVN2 at its relaxed geometry (GGA-PBE, Alexandria via LeMat-Bulk).

Summary:
The raw total energy comes out at -8.2862 eV/atom. The density of states at the Fermi level is 0.607 states/eV/atom. Its total magnetization is 3.76 μB per cell.

Unit cell a=5.430 b=5.430 c=5.430 alpha=130.92 beta=130.92 gamma=71.94
Element x y z (fractional)
Al: 0.000 0.000 0.000
Al: 0.750 0.250 0.500
V: 0.250 0.750 0.500
V: 0.500 0.500 0.000
N: 0.113 0.625 0.988
N: 0.375 0.363 0.488
N: 0.637 0.125 0.012
N: 0.875 0.887 0.512